(1)
Computed, not measured: crystalline Mg2Be2Ru at its relaxed geometry at the PBE level of DFT.

distance to the lowest polymorph of the same formula	17.11	kJ per mole of atoms
ρ	3.847	g/cm3
energy of formation from the pure elements	319.0	meV per atom
total DFT energy (no corrections)	-36.64	eV for the cell shown

Unit cell a=2.901 b=2.901 c=17.207 alpha=90.00 beta=90.00 gamma=90.00
Fractional coordinates of all 10 atoms:
Mg: 0.000 0.000 0.109
Mg: 0.000 0.000 0.891
Mg: 0.500 0.500 0.391
Mg: 0.500 0.500 0.609
Be: 0.000 0.500 0.250
Be: 0.000 0.500 0.750
Be: 0.500 0.000 0.250
Be: 0.500 0.000 0.750
Ru: 0.000 0.000 0.500
Ru: 0.500 0.500 0.000

(2)
Computed, not measured: crystalline CrGaOs at its relaxed geometry at the PBE level of DFT.

ρ	11.800	g/cm3
energy of formation from the pure elements	116.0	meV per atom
total DFT energy (no corrections)	-47.06	eV for the cell shown

Unit cell a=5.498 b=2.873 c=5.713 alpha=90.00 beta=103.40 gamma=90.00
Fractional coordinates of all 6 atoms:
Cr: 0.082 0.250 0.386
Cr: 0.918 0.750 0.614
Ga: 0.249 0.750 0.043
Ga: 0.751 0.250 0.957
Os: 0.406 0.750 0.645
Os: 0.594 0.250 0.355

(3)
Computed, not measured: crystalline CeThPt4 at its relaxed geometry at the PBE level of DFT.

ρ	16.128	g/cm3
energy of formation from the pure elements	-1020.3	meV per atom
total DFT energy (no corrections)	-43.64	eV for the cell shown

Unit cell a=5.516 b=5.516 c=5.516 alpha=60.00 beta=60.00 gamma=60.00
Fractional coordinates of all 6 atoms:
Ce: 0.000 0.000 0.000
Th: 0.250 0.250 0.250
Pt: 0.125 0.625 0.625
Pt: 0.625 0.125 0.625
Pt: 0.625 0.625 0.125
Pt: 0.625 0.625 0.625

(4)
Computed, not measured: crystalline LiTaCu2 at its relaxed geometry at the PBE level of DFT.

ρ	8.959	g/cm3
energy of formation from the pure elements	105.3	meV per atom
total DFT energy (no corrections)	-43.08	eV for the cell shown

Unit cell a=6.587 b=6.733 c=2.633 alpha=90.00 beta=90.14 gamma=90.00
Fractional coordinates of all 8 atoms:
Li: 0.000 0.000 0.000
Li: 0.500 0.500 0.000
Ta: 0.000 0.500 0.000
Ta: 0.500 0.000 0.000
Cu: 0.250 0.250 0.500
Cu: 0.250 0.750 0.500
Cu: 0.750 0.250 0.500
Cu: 0.750 0.750 0.500